# Cd4SnHg2Pb2 | the Alexandria database | PBE | relaxed
data_Cd4SnHg2Pb2
_cell_length_a 3.3444
_cell_length_b 3.3444
_cell_length_c 24.5573
_cell_angle_alpha 90.00
_cell_angle_beta 90.00
_cell_angle_gamma 120.00
_space_group_name_H-M_alt 'P 1'
_space_group_IT_number 1
loop_
_space_group_symop_operation_xyz
'x,y,z'
loop_
_atom_site_label
_atom_site_type_symbol
_atom_site_fract_x
_atom_site_fract_y
_atom_site_fract_z
Cd1 Cd 0.6667 0.3333 0.0749
Cd2 Cd 0.6667 0.3333 0.8668
Cd3 Cd 0.0000 0.0000 0.7660
Cd4 Cd 0.0000 0.0000 0.5623
Pb1 Pb 0.6667 0.3333 0.2011
Pb2 Pb 0.6667 0.3333 0.4478
Hg1 Hg 0.0000 0.0000 0.9709
Hg2 Hg 0.6667 0.3333 0.6637
Sn1 Sn 0.0000 0.0000 0.3237
# - E_tot: -1.684 eV per atom

***

# NdSm2Ho4Er | the Alexandria database | PBE | relaxed
data_NdSm2Ho4Er
_cell_length_a 9.5027
_cell_length_b 9.5027
_cell_length_c 11.7900
_cell_angle_alpha 128.34
_cell_angle_beta 128.34
_cell_angle_gamma 88.51
_space_group_name_H-M_alt 'P 1'
_space_group_IT_number 1
loop_
_space_group_symop_operation_xyz
'x,y,z'
loop_
_atom_site_label
_atom_site_type_symbol
_atom_site_fract_x
_atom_site_fract_y
_atom_site_fract_z
Ho1 Ho 0.2507 0.2503 0.0039
Ho2 Ho 0.2497 0.2493 0.4961
Ho3 Ho 0.7460 0.2531 0.4997
Ho4 Ho 0.2540 0.7469 0.5003
Ho5 Ho 0.7503 0.7507 0.5039
Ho6 Ho 0.7531 0.2460 0.9997
Ho7 Ho 0.2469 0.7540 0.0003
Ho8 Ho 0.7493 0.7497 0.9961
Sm1 Sm 0.0000 0.0000 0.5000
Sm2 Sm 0.5000 0.0000 0.5000
Sm3 Sm 0.5000 0.5000 0.0000
Sm4 Sm 0.5000 0.0000 0.0000
Er1 Er 0.0000 0.0000 0.0000
Er2 Er 0.5000 0.5000 0.5000
Nd1 Nd 0.0000 0.5000 0.0000
Nd2 Nd 0.0000 0.5000 0.5000
# - E_tot: -4.209 eV per atom

***

# DyPa2B6 | the Alexandria database | PBE | relaxed
data_DyPa2B6
_cell_length_a 4.0195
_cell_length_b 5.5908
_cell_length_c 5.5908
_cell_angle_alpha 120.00
_cell_angle_beta 90.00
_cell_angle_gamma 90.00
_space_group_name_H-M_alt 'P 1'
_space_group_IT_number 1
loop_
_space_group_symop_operation_xyz
'x,y,z'
loop_
_atom_site_label
_atom_site_type_symbol
_atom_site_fract_x
_atom_site_fract_y
_atom_site_fract_z
Pa1 Pa 0.0000 0.6667 0.3333
Pa2 Pa 0.0000 0.3333 0.6667
B1 B 0.5000 0.0000 0.6642
B2 B 0.5000 0.3358 0.3358
B3 B 0.5000 0.0000 0.3358
B4 B 0.5000 0.6642 0.0000
B5 B 0.5000 0.3358 0.0000
B6 B 0.5000 0.6642 0.6642
Dy1 Dy 0.0000 0.0000 0.0000
# - E_tot: -7.662 eV per atom

***

# Li4Ac2Sn3Bi | the Alexandria database | PBE | relaxed
data_Li4Ac2Sn3Bi
_cell_length_a 4.7427
_cell_length_b 4.7427
_cell_length_c 11.2270
_cell_angle_alpha 90.00
_cell_angle_beta 90.00
_cell_angle_gamma 90.00
_space_group_name_H-M_alt 'P 1'
_space_group_IT_number 1
loop_
_space_group_symop_operation_xyz
'x,y,z'
loop_
_atom_site_label
_atom_site_type_symbol
_atom_site_fract_x
_atom_site_fract_y
_atom_site_fract_z
Li1 Li 0.5000 0.0000 0.6398
Li2 Li 0.5000 0.5000 0.0000
Li3 Li 0.0000 0.5000 0.3602
Li4 Li 0.0000 0.0000 0.0000
Sn1 Sn 0.5000 0.0000 0.8750
Sn2 Sn 0.0000 0.0000 0.5000
Sn3 Sn 0.0000 0.5000 0.1250
Bi1 Bi 0.5000 0.5000 0.5000
Ac1 Ac 0.0000 0.5000 0.7654
Ac2 Ac 0.5000 0.0000 0.2346
# - E_tot: -3.747 eV per atom

***

# Er2Th3Co2 | the Alexandria database | PBE | relaxed
data_Er2Th3Co2
_cell_length_a 3.6832
_cell_length_b 6.0828
_cell_length_c 8.8972
_cell_angle_alpha 68.92
_cell_angle_beta 78.04
_cell_angle_gamma 72.38
_space_group_name_H-M_alt 'P 1'
_space_group_IT_number 1
loop_
_space_group_symop_operation_xyz
'x,y,z'
loop_
_atom_site_label
_atom_site_type_symbol
_atom_site_fract_x
_atom_site_fract_y
_atom_site_fract_z
Co1 Co 0.1349 0.9363 0.7941
Co2 Co 0.8651 0.0637 0.2059
Th1 Th 0.3819 0.8079 0.4284
Th2 Th 0.6181 0.1920 0.5716
Th3 Th 0.5000 0.0000 0.0000
Er1 Er 0.1706 0.4610 0.1978
Er2 Er 0.8294 0.5390 0.8022
# - E_tot: -6.726 eV per atom

***

# DyTmLu2 | the Alexandria database | PBE | relaxed
data_DyTmLu2
_cell_length_a 4.9116
_cell_length_b 4.9253
_cell_length_c 4.9253
_cell_angle_alpha 90.00
_cell_angle_beta 90.00
_cell_angle_gamma 90.00
_space_group_name_H-M_alt 'P 1'
_space_group_IT_number 1
loop_
_space_group_symop_operation_xyz
'x,y,z'
loop_
_atom_site_label
_atom_site_type_symbol
_atom_site_fract_x
_atom_site_fract_y
_atom_site_fract_z
Tm1 Tm 0.5000 0.0000 0.0000
Lu1 Lu 0.0000 0.5000 0.0000
Lu2 Lu 0.0000 0.0000 0.5000
Dy1 Dy 0.5000 0.5000 0.5000
# - Energy above the most stable polymorph in this dataset: 1 meV/atom

***

# TbPuGe2 | the Alexandria database | PBE | relaxed
data_TbPuGe2
_cell_length_a 3.3098
_cell_length_b 3.3098
_cell_length_c 8.1717
_cell_angle_alpha 90.00
_cell_angle_beta 90.00
_cell_angle_gamma 90.00
_space_group_name_H-M_alt 'P 1'
_space_group_IT_number 1
loop_
_space_group_symop_operation_xyz
'x,y,z'
loop_
_atom_site_label
_atom_site_type_symbol
_atom_site_fract_x
_atom_site_fract_y
_atom_site_fract_z
Pu1 Pu 0.5000 0.5000 0.0000
Tb1 Tb 0.5000 0.5000 0.5000
Ge1 Ge 0.0000 0.0000 0.7495
Ge2 Ge 0.0000 0.0000 0.2505
# - Energy above the most stable polymorph in this dataset: 85 meV/atom

***

# BaIn2Ge | the Alexandria database | PBE | relaxed
data_BaIn2Ge
_cell_length_a 4.9699
_cell_length_b 6.2382
_cell_length_c 8.0256
_cell_angle_alpha 92.97
_cell_angle_beta 90.00
_cell_angle_gamma 90.00
_space_group_name_H-M_alt 'P 1'
_space_group_IT_number 1
loop_
_space_group_symop_operation_xyz
'x,y,z'
loop_
_atom_site_label
_atom_site_type_symbol
_atom_site_fract_x
_atom_site_fract_y
_atom_site_fract_z
Ge1 Ge 0.7500 0.2700 0.3851
Ge2 Ge 0.2500 0.7300 0.6149
In1 In 0.2500 0.0192 0.9035
In2 In 0.7500 0.8181 0.4499
In3 In 0.7500 0.9808 0.0965
In4 In 0.2500 0.1819 0.5501
Ba1 Ba 0.7500 0.4787 0.7913
Ba2 Ba 0.2500 0.5213 0.2087
# - Energy above the most stable polymorph in this dataset: 40 meV/atom

***

So what do the calculations give for size of the total moment? Going down the list: 0.00 5.50 0.00 0.00 0.00 0.00 5.66 0.00 μB/cell.
So what do the calculations give for V? Going down the list: 237.9 532.1 108.8 252.5 176.2 119.1 89.5 248.5 Å³ per cell.